Entry from the Alexandria database: a relaxed structure of LiMnNbO4 (PBE+U).

Cell: 6.207 6.207 8.781 Å, 90.00 90.00 90.00°
Last column: magnetic moment on the atom in μB.
Element x y z (fractional)
Mn (0.500, 0.238, 0.000)  4.61
Mn (0.238, 0.500, 0.250)  4.61
Mn (0.762, 0.500, 0.750)  4.61
Mn (0.500, 0.762, 0.500)  4.61
Li (0.000, 0.772, 0.500)  0.00
Li (0.000, 0.228, 0.000)  0.00
Li (0.772, 0.000, 0.750)  0.00
Li (0.228, 0.000, 0.250)  0.00
O (0.252, 0.499, 0.000)  0.03
O (0.252, 0.501, 0.500)  0.03
O (0.004, 0.250, 0.749)  0.01
O (0.996, 0.250, 0.251)  0.01
O (0.250, 0.004, 0.501)  0.01
O (0.996, 0.750, 0.249)  0.01
O (0.499, 0.748, 0.250)  0.03
O (0.748, 0.499, 0.000)  0.03
O (0.750, 0.996, 0.001)  0.01
O (0.501, 0.748, 0.750)  0.03
O (0.748, 0.501, 0.500)  0.03
O (0.004, 0.750, 0.751)  0.01
O (0.501, 0.252, 0.750)  0.03
O (0.250, 0.996, 0.999)  0.01
O (0.499, 0.252, 0.250)  0.03
O (0.750, 0.004, 0.499)  0.01
Nb (0.749, 0.749, 0.125)  0.11
Nb (0.749, 0.251, 0.375)  0.11
Nb (0.251, 0.251, 0.625)  0.11
Nb (0.251, 0.749, 0.875)  0.11

Output
Calculated total energy (hartree per atom): -0.289
Calculated volume (Å³/atom): 12.083
N(E_F) (states/eV/atom): 0.000
Energy above the most stable polymorph in this dataset (meV/atom): 17